(1)
Entry from Alexandria: a geometry-optimized TlFeW2 structure (GGA-PBE).

The value obtained for the energy above the most stable polymorph in this dataset is 7.2 kJ per mole of atoms. The value obtained for the calculated density is 15.34 g/cm³. Its energy of formation is 2.8 eV/f.u.

The space group is R3m (No. 160, hexagonal axes) and the conventional cell measures 2.9433, 2.9433 and 27.1721 Å, with angles of 90.00, 90.00 and 120.00 degrees. The asymmetric unit holds Tl at (0.0000, 0.0000, 0.0000), Fe at (0.0000, 0.0000, 0.7524), W at (0.0000, 0.0000, 0.2391) and W at (0.0000, 0.0000, 0.4870).

=====

(2)
Entry from Alexandria: a geometry-optimized Tl2FeW2 structure (GGA-PBE).

The value obtained for the energy above the most stable polymorph in this dataset is 0.0 kJ per mole of atoms. The value obtained for the calculated density is 13.37 g/cm³. Its energy of formation is 5.9 eV/f.u.

The space group is I4/mmm (No. 139) and the conventional cell measures 3.6714, 3.6714 and 15.3323 Å, with angles of 90.00, 90.00 and 90.00 degrees. The asymmetric unit holds Tl at (0.0000, 0.0000, 0.0964), Fe at (0.0000, 0.0000, 0.5000) and W at (0.0000, 0.5000, 0.2500).

=====

(3)
Entry from Alexandria: a geometry-optimized TlFeW2 structure (GGA-PBE).

The value obtained for the energy above the most stable polymorph in this dataset is 15.2 kJ per mole of atoms. The value obtained for the calculated density is 15.62 g/cm³. Its energy of formation is 3.1 eV/f.u.

The space group is R-3m (No. 166, hexagonal axes) and the conventional cell measures 2.9000, 2.9000 and 27.4961 Å, with angles of 90.00, 90.00 and 120.00 degrees. The asymmetric unit holds Tl at (0.0000, 0.0000, 0.0000), Fe at (0.0000, 0.0000, 0.5000) and W at (0.0000, 0.0000, 0.2402).

=====

(4)
Entry from Alexandria: a geometry-optimized TlFe4W structure (GGA-PBE).

The value obtained for the calculated density is 12.52 g/cm³. Its energy of formation is 2.0 eV/f.u.

The space group is F-43m (No. 216) and the conventional cell measures 6.8716, 6.8716 and 6.8716 Å, with angles of 90.00, 90.00 and 90.00 degrees. The asymmetric unit holds Tl at (0.0000, 0.0000, 0.0000), Fe at (0.1235, 0.1235, 0.3765) and W at (0.2500, 0.2500, 0.7500).

=====

(5)
Entry from Alexandria: a geometry-optimized TlFeW2 structure (GGA-PBE).

The value obtained for the energy above the most stable polymorph in this dataset is 8.3 kJ per mole of atoms. The value obtained for the calculated density is 15.97 g/cm³. Its energy of formation is 2.8 eV/f.u.

The space group is I4/mmm (No. 139) and the conventional cell measures 3.8924, 3.8924 and 8.6186 Å, with angles of 90.00, 90.00 and 90.00 degrees. The asymmetric unit holds Tl at (0.0000, 0.0000, 0.0000), Fe at (0.0000, 0.0000, 0.5000) and W at (0.0000, 0.5000, 0.2500).

=====

(6)
Entry from Alexandria: a geometry-optimized Tl2FeW structure (GGA-PBE).

The value obtained for the energy above the most stable polymorph in this dataset is 46.7 kJ per mole of atoms. The value obtained for the calculated density is 13.67 g/cm³. Its energy of formation is 4.1 eV/f.u.

The space group is Pmmm (No. 47) and the conventional cell measures 2.9762, 4.9001 and 5.4009 Å, with angles of 90.00, 90.00 and 90.00 degrees. The asymmetric unit holds Tl at (0.0000, 0.0000, 0.0000), Tl at (0.5000, 0.0000, 0.5000), Fe at (0.0000, 0.5000, 0.5000) and W at (0.5000, 0.5000, 0.0000).

=====

(7)
Entry from Alexandria: a geometry-optimized Tl2FeW structure (GGA-PBE).

The value obtained for the energy above the most stable polymorph in this dataset is 41.7 kJ per mole of atoms. The value obtained for the calculated density is 13.88 g/cm³. Its energy of formation is 3.9 eV/f.u.

The space group is C2/m (No. 12) and the conventional cell measures 6.1228, 9.5383 and 2.9682 Å, with angles of 90.00, 116.50 and 90.00 degrees. The asymmetric unit holds Tl at (0.2500, 0.2500, 0.0000), Fe at (0.0000, 0.0000, 0.5000) and W at (0.0000, 0.5000, 0.5000).

=====

(8)
Entry from Alexandria: a geometry-optimized TlFeW2 structure (GGA-PBE).

The value obtained for the energy above the most stable polymorph in this dataset is 10.4 kJ per mole of atoms. The value obtained for the calculated density is 15.70 g/cm³. Its energy of formation is 2.9 eV/f.u.

The space group is Cm (No. 8) and the conventional cell measures 9.7307, 3.3750 and 4.5613 Å, with angles of 90.00, 117.56 and 90.00 degrees. The asymmetric unit holds Tl at (0.0000, 0.0000, 0.0000), Fe at (0.2507, 0.5000, 0.2486), W at (0.2245, 0.0000, 0.7222) and W at (0.4863, 0.0000, 0.4863).